Record 1
Compound: TiBSb2I
Source: Alexandria via LeMat-Bulk
Functional: PBE
Structure: relaxed

abc: 4.7741 4.7741 5.1450
angles: 90.00 90.00 90.00
Closest atoms and distances in Å follow each position.
Fractional positions:
Ti1 0.0000 0.0000 0.0000  4 I 3.38, 8 Sb 3.51
B1 0.5000 0.5000 0.5000  4 Sb 2.39, 2 I 2.57
Sb1 0.0000 0.5000 0.5000  2 B 2.39
Sb2 0.5000 0.0000 0.5000  2 B 2.39
I1 0.5000 0.5000 0.0000  2 B 2.57

Results
**Energy relative to the elements, uncorrected**: 900 meV/atom
**Crystal system**: tetragonal
**Total moment**: 1.79 μB per cell



Record 2
Compound: TlBSb2I
Source: Alexandria via LeMat-Bulk
Functional: PBE
Structure: relaxed

abc: 5.7207 5.7207 6.3239
angles: 90.00 90.00 90.00
Closest atoms and distances in Å follow each position.
Fractional positions:
Tl1 0.0000 0.0000 0.0000  4 Sb 2.86, 2 I 3.16
B1 0.5000 0.5000 0.5000  4 I 4.05, 8 Sb 4.26
Sb1 0.0000 0.5000 0.0000  2 Tl 2.86
Sb2 0.5000 0.0000 0.0000  2 Tl 2.86
I1 0.0000 0.0000 0.5000  2 Tl 3.16

Results
**Energy relative to the elements, uncorrected**: 1629 meV/atom
**Crystal system**: tetragonal
**Total moment**: 1.06 μB per cell



Record 3
Compound: TlBSb2I
Source: Alexandria via LeMat-Bulk
Functional: PBE
Structure: relaxed

abc: 4.7359 4.7359 8.5707
angles: 90.00 90.00 90.00
Closest atoms and distances in Å follow each position.
Fractional positions:
Tl1 0.0000 0.0000 0.0000  4 I 3.35
B1 0.5000 0.5000 0.5000  4 Sb 2.37
Sb1 0.0000 0.5000 0.5000  2 B 2.37
Sb2 0.5000 0.0000 0.5000  2 B 2.37
I1 0.5000 0.5000 0.0000  4 Tl 3.35

Results
**Energy relative to the elements, uncorrected**: 609 meV/atom
**Crystal system**: tetragonal
**Total moment**: 0.00 μB per cell



Record 4
Compound: VBSb2I
Source: Alexandria via LeMat-Bulk
Functional: PBE
Structure: relaxed

abc: 4.7454 4.7454 5.1713
angles: 90.00 90.00 90.00
Closest atoms and distances in Å follow each position.
Fractional positions:
V1 0.0000 0.0000 0.0000  4 I 3.36, 8 Sb 3.51
B1 0.5000 0.5000 0.5000  4 Sb 2.37, 2 I 2.59
Sb1 0.0000 0.5000 0.5000  2 B 2.37
Sb2 0.5000 0.0000 0.5000  2 B 2.37
I1 0.5000 0.5000 0.0000  2 B 2.59

Results
**Energy relative to the elements, uncorrected**: 1062 meV/atom
**Crystal system**: tetragonal
**Total moment**: 3.27 μB per cell



Record 5
Compound: VBSbI2
Source: Alexandria via LeMat-Bulk
Functional: PBE
Structure: relaxed

abc: 5.4855 5.4855 5.2484
angles: 90.00 90.00 90.00
Closest atoms and distances in Å follow each position.
Fractional positions:
V1 0.0000 0.0000 0.0000  2 Sb 2.62, 4 I 2.74
B1 0.5000 0.5000 0.5000  8 I 3.80, 4 Sb 3.88
Sb1 0.0000 0.0000 0.5000  2 V 2.62
I1 0.0000 0.5000 0.0000  2 V 2.74
I2 0.5000 0.0000 0.0000  2 V 2.74

Results
**Energy relative to the elements, uncorrected**: 1164 meV/atom
**Crystal system**: tetragonal
**Total moment**: 1.91 μB per cell



Record 6
Compound: VBSbI2
Source: Alexandria via LeMat-Bulk
Functional: PBE
Structure: relaxed

abc: 4.8861 4.8861 4.8877
angles: 90.00 90.00 90.00
Closest atoms and distances in Å follow each position.
Fractional positions:
V1 0.0000 0.0000 0.0000  4 Sb 3.45, 8 I 3.46
B1 0.5000 0.5000 0.5000  4 I 2.44, 2 Sb 2.44
Sb1 0.5000 0.5000 0.0000  2 B 2.44
I1 0.0000 0.5000 0.5000  2 B 2.44
I2 0.5000 0.0000 0.5000  2 B 2.44

Results
**Energy relative to the elements, uncorrected**: 1367 meV/atom
**Crystal system**: tetragonal
**Total moment**: 0.00 μB per cell



Record 7
Compound: VBSb2I
Source: Alexandria via LeMat-Bulk
Functional: PBE
Structure: relaxed

abc: 5.0545 5.0545 5.7867
angles: 90.00 90.00 90.00
Closest atoms and distances in Å follow each position.
Fractional positions:
V1 0.0000 0.0000 0.0000  4 Sb 2.53
B1 0.5000 0.5000 0.5000  4 I 3.57, 8 Sb 3.84
Sb1 0.0000 0.5000 0.0000  2 V 2.53
Sb2 0.5000 0.0000 0.0000  2 V 2.53
I1 0.0000 0.0000 0.5000  2 V 2.89

Results
**Energy relative to the elements, uncorrected**: 1228 meV/atom
**Crystal system**: tetragonal
**Total moment**: 1.26 μB per cell



Record 8
Compound: BSb2WI
Source: Alexandria via LeMat-Bulk
Functional: PBE
Structure: relaxed

abc: 4.7219 4.7219 4.8563
angles: 90.00 90.00 90.00
Closest atoms and distances in Å follow each position.
Fractional positions:
B1 0.0000 0.0000 0.0000  4 Sb 2.36, 2 I 2.43
Sb1 0.0000 0.5000 0.0000  2 B 2.36
Sb2 0.5000 0.0000 0.0000  2 B 2.36
W1 0.5000 0.5000 0.5000  4 I 3.34, 8 Sb 3.39
I1 0.0000 0.0000 0.5000  2 B 2.43

Results
**Energy relative to the elements, uncorrected**: 1539 meV/atom
**Crystal system**: tetragonal
**Total moment**: 2.16 μB per cell



Number 1: total DFT energy (no corrections) -19.9 eV for the cell shown. Number 2: total DFT energy (no corrections) -10.7 eV for the cell shown. Number 3: total DFT energy (no corrections) -15.8 eV for the cell shown. Number 4: total DFT energy (no corrections) -20.3 eV for the cell shown. Number 5: total DFT energy (no corrections) -17.2 eV for the cell shown. Number 6: total DFT energy (no corrections) -16.2 eV for the cell shown. Number 7: total DFT energy (no corrections) -19.5 eV for the cell shown. Number 8: total DFT energy (no corrections) -21.7 eV for the cell shown.